[1]
This record from the Alexandria database describes a relaxed Ce2TmTl crystal. The functional is PBE. Values from VASP.

Cell and atoms, written as Quantum ESPRESSO input:
```
&SYSTEM
  ibrav = 0, nat = 4, ntyp = 3
/
ATOMIC_SPECIES
Ce 140.12 Ce.upf
Tm 168.93 Tm.upf
Tl 204.38 Tl.upf
CELL_PARAMETERS angstrom
0.000 3.893 3.893
3.893 0.000 3.893
3.893 3.893 0.000
ATOMIC_POSITIONS angstrom
Ce 1.947 1.947 1.947
Ce 5.840 5.840 5.840
Tm 0.000 0.000 0.000
Tl 3.893 3.893 3.893
```

Computed properties:
- Energy relative to the elements: 4.09 kJ/mol of atoms
- Symmetry: No. 225
- DOS(E_F): 13.6 states/eV/cell
- ΔE to the lowest computed polymorph: 0.1855 eV/atom

[2]
This record from the Alexandria database describes a relaxed Sr3Tl4Rh2 crystal. The functional is PBE. Values from VASP.

Cell and atoms, written as Quantum ESPRESSO input:
```
&SYSTEM
  ibrav = 0, nat = 18, ntyp = 3
/
ATOMIC_SPECIES
Sr 87.62 Sr.upf
Tl 204.38 Tl.upf
Rh 102.91 Rh.upf
CELL_PARAMETERS angstrom
6.833 -5.176 0.000
6.833 5.176 0.000
-2.348 0.000 7.608
ATOMIC_POSITIONS angstrom
Sr 5.073 4.786 5.706
Sr 2.989 1.007 6.146
Sr 4.162 -1.007 2.343
Sr 7.157 1.007 5.265
Sr 8.331 -1.007 1.461
Sr 6.247 -4.786 1.902
Tl 2.488 1.146 0.415
Tl 4.587 2.518 3.006
Tl 1.314 -1.146 4.219
Tl 7.906 2.518 0.798
Tl 3.413 -2.518 6.810
Tl 10.005 1.146 3.389
Tl 6.733 -2.518 4.601
Tl 8.832 -1.146 7.193
Rh 2.042 1.364 3.200
Rh 0.868 -1.364 7.004
Rh 10.451 1.364 0.603
Rh 9.278 -1.364 4.407
```

Computed properties:
- Energy relative to the elements: -25.08 kJ/mol of atoms
- Symmetry: No. 15
- DOS(E_F): 11.7 states/eV/cell
- ΔE to the lowest computed polymorph: 0.0394 eV/atom

[3]
This record from the Alexandria database describes a relaxed AcTb2Pm6Tm3 crystal. The functional is PBE. Values from VASP.

Cell and atoms, written as Quantum ESPRESSO input:
```
&SYSTEM
  ibrav = 0, nat = 12, ntyp = 4
/
ATOMIC_SPECIES
Ac 227.00 Ac.upf
Tb 158.93 Tb.upf
Pm 145.00 Pm.upf
Tm 168.93 Tm.upf
CELL_PARAMETERS angstrom
3.142 -5.443 0.000
3.142 5.443 0.000
-2.094 0.000 11.780
ATOMIC_POSITIONS angstrom
Ac 0.000 0.000 0.000
Tb 3.142 1.813 0.000
Tb 3.142 -1.813 0.000
Pm 1.060 1.830 3.017
Pm 0.014 0.000 8.756
Pm 1.060 -1.830 3.017
Pm 3.130 1.830 8.763
Pm 4.176 0.000 3.025
Pm 3.130 -1.830 8.763
Tm 2.095 3.624 5.890
Tm 2.095 0.000 5.890
Tm 2.095 -3.624 5.890
```

Computed properties:
- Energy relative to the elements: 2.95 kJ/mol of atoms
- Symmetry: No. 12
- DOS(E_F): 15.1 states/eV/cell

[4]
This record from the Alexandria database describes a relaxed Hg4SbBr4 crystal. The functional is PBE. Values from VASP.

Cell and atoms, written as Quantum ESPRESSO input:
```
&SYSTEM
  ibrav = 0, nat = 18, ntyp = 3
/
ATOMIC_SPECIES
Hg 200.59 Hg.upf
Sb 121.76 Sb.upf
Br 79.90 Br.upf
CELL_PARAMETERS angstrom
9.393 0.000 0.000
0.000 9.393 0.000
0.000 0.000 6.654
ATOMIC_POSITIONS angstrom
Hg 0.062 2.348 0.253
Hg 2.348 0.062 3.580
Hg 2.348 4.634 3.580
Hg 4.634 2.348 0.253
Hg 4.758 7.045 6.401
Hg 7.045 4.758 3.074
Hg 7.045 9.331 3.074
Hg 9.331 7.045 6.401
Sb 2.348 7.045 4.991
Sb 7.045 2.348 1.664
Br 0.446 2.348 4.063
Br 2.348 0.446 0.736
Br 2.348 4.251 0.736
Br 4.251 2.348 4.063
Br 5.142 7.045 2.591
Br 7.045 5.142 5.918
Br 7.045 8.947 5.918
Br 8.947 7.045 2.591
```

Computed properties:
- Symmetry: No. 137
- Formation energy without anion corrections: -2.6 eV/f.u.
- DOS(E_F): 5.8 states/eV/cell

[5]
This record from the Alexandria database describes a relaxed CdCoOs2 crystal. The functional is PBE. Values from VASP.

Cell and atoms, written as Quantum ESPRESSO input:
```
&SYSTEM
  ibrav = 0, nat = 4, ntyp = 3
/
ATOMIC_SPECIES
Cd 112.41 Cd.upf
Co 58.93 Co.upf
Os 190.23 Os.upf
CELL_PARAMETERS angstrom
2.811 0.000 0.000
0.000 4.577 0.000
0.000 0.000 4.669
ATOMIC_POSITIONS angstrom
Cd 0.000 0.000 0.000
Co 1.406 2.289 0.000
Os 0.000 2.289 2.334
Os 1.406 0.000 2.334
```

Computed properties:
- Energy relative to the elements: 66.09 kJ/mol of atoms
- Symmetry: No. 47
- DOS(E_F): 5.1 states/eV/cell

[6]
This record from the Alexandria database describes a relaxed ScTlCuSe2 crystal. The functional is PBE. Values from VASP.

Cell and atoms, written as Quantum ESPRESSO input:
```
&SYSTEM
  ibrav = 0, nat = 10, ntyp = 4
/
ATOMIC_SPECIES
Sc 44.96 Sc.upf
Tl 204.38 Tl.upf
Cu 63.55 Cu.upf
Se 78.96 Se.upf
CELL_PARAMETERS angstrom
7.224 0.000 0.000
0.000 5.657 0.000
-2.038 0.000 6.545
ATOMIC_POSITIONS angstrom
Sc -0.510 5.656 1.636
Sc -1.529 0.001 4.909
Tl 3.102 1.647 1.636
Tl 2.083 4.011 4.909
Cu 0.000 2.829 0.000
Cu -1.019 2.829 3.273
Se 0.533 1.188 3.764
Se 1.552 4.469 0.491
Se 3.633 1.188 6.054
Se 4.652 4.469 2.781
```

Computed properties:
- Symmetry: No. 13
- Formation energy without anion corrections: -3.4 eV/f.u.
- DOS(E_F): 5.6 states/eV/cell

[7]
This record from the Alexandria database describes a relaxed BaY2MnBe crystal. The functional is PBE. Values from VASP.

Cell and atoms, written as Quantum ESPRESSO input:
```
&SYSTEM
  ibrav = 0, nat = 5, ntyp = 4
/
ATOMIC_SPECIES
Ba 137.33 Ba.upf
Y 88.91 Y.upf
Mn 54.94 Mn.upf
Be 9.01 Be.upf
CELL_PARAMETERS angstrom
5.251 0.000 0.000
0.000 5.251 0.000
0.000 0.000 5.654
ATOMIC_POSITIONS angstrom
Ba 0.000 0.000 0.000
Y 0.000 2.626 2.827
Y 2.626 0.000 2.827
Mn 2.626 2.626 0.000
Be 0.000 0.000 2.827
```

Computed properties:
- Energy relative to the elements: 111.01 kJ/mol of atoms
- Symmetry: No. 123
- DOS(E_F): 10.2 states/eV/cell

[8]
This record from the Alexandria database describes a relaxed AlCdRu2 crystal. The functional is PBE. Values from VASP.

Cell and atoms, written as Quantum ESPRESSO input:
```
&SYSTEM
  ibrav = 0, nat = 8, ntyp = 3
/
ATOMIC_SPECIES
Al 26.98 Al.upf
Cd 112.41 Cd.upf
Ru 101.07 Ru.upf
CELL_PARAMETERS angstrom
-2.001 2.001 9.141
2.001 -2.001 9.141
2.001 2.001 -9.141
ATOMIC_POSITIONS angstrom
Al 0.000 0.000 0.000
Al 0.000 2.001 4.571
Cd 2.001 0.000 4.571
Cd 0.000 0.000 9.141
Ru 3.001 0.642 -2.285
Ru 0.642 1.000 2.285
Ru -1.000 1.358 6.856
Ru 1.358 1.000 11.426
```

Computed properties:
- Energy relative to the elements: 44.68 kJ/mol of atoms
- Symmetry: No. 122
- DOS(E_F): 6.4 states/eV/cell
- ΔE to the lowest computed polymorph: 0.5388 eV/atom

[9]
This record from the Alexandria database describes a relaxed V3SnH crystal. The functional is PBE. Values from VASP.

Cell and atoms, written as Quantum ESPRESSO input:
```
&SYSTEM
  ibrav = 0, nat = 20, ntyp = 3
/
ATOMIC_SPECIES
V 50.94 V.upf
Sn 118.71 Sn.upf
H 1.01 H.upf
CELL_PARAMETERS angstrom
4.828 -5.397 0.000
4.828 5.397 0.000
-0.620 0.000 5.009
ATOMIC_POSITIONS angstrom
V 3.108 3.170 4.822
V 3.417 1.959 2.033
V 3.045 0.722 4.511
V 5.618 3.170 2.692
V 5.928 1.959 0.472
V 3.355 -0.722 2.006
V 5.681 0.722 3.003
V 3.107 -1.959 4.537
V 3.418 -3.170 2.317
V 5.991 -0.722 0.499
V 5.618 -1.959 2.976
V 5.928 -3.170 0.187
Sn 1.011 0.784 2.664
Sn 1.321 -0.784 0.160
Sn 7.714 0.784 4.849
Sn 8.024 -0.784 2.345
H 4.363 1.990 3.757
H 4.673 0.616 1.252
H 4.363 -0.616 3.757
H 4.673 -1.990 1.252
```

Computed properties:
- Symmetry: No. 15
- Electronic total energy: -138.24 eV/cell
- DOS(E_F): 19.3 states/eV/cell

[10]
This record from the Alexandria database describes a relaxed Sm5TmN6 crystal. The functional is PBE. Values from VASP.

Cell and atoms, written as Quantum ESPRESSO input:
```
&SYSTEM
  ibrav = 0, nat = 12, ntyp = 3
/
ATOMIC_SPECIES
Sm 150.36 Sm.upf
Tm 168.93 Tm.upf
N 14.01 N.upf
CELL_PARAMETERS angstrom
3.082 -5.339 0.000
3.082 5.339 0.000
-2.053 0.000 5.809
ATOMIC_POSITIONS angstrom
Sm 0.000 0.000 0.000
Sm 2.055 3.558 2.904
Sm 3.082 1.768 0.000
Sm 3.082 -1.768 0.000
Sm 2.055 -3.558 2.904
Tm 2.055 0.000 2.904
N 1.050 1.742 1.476
N 0.044 0.000 4.337
N 1.050 -1.742 1.476
N 3.061 1.742 4.333
N 4.066 0.000 1.472
N 3.061 -1.742 4.333
```

Computed properties:
- Symmetry: No. 12
- Formation energy without anion corrections: -18.3 eV/f.u.
- DOS(E_F): 0.4 states/eV/cell

[11]
This record from the Alexandria database describes a relaxed CoTcOs2 crystal. The functional is PBE. Values from VASP.

Cell and atoms, written as Quantum ESPRESSO input:
```
&SYSTEM
  ibrav = 0, nat = 4, ntyp = 3
/
ATOMIC_SPECIES
Co 58.93 Co.upf
Tc 98.00 Tc.upf
Os 190.23 Os.upf
CELL_PARAMETERS angstrom
1.349 0.779 8.687
-1.349 0.779 8.687
0.000 -1.558 8.687
ATOMIC_POSITIONS angstrom
Co 0.000 0.000 0.000
Tc 0.000 0.000 13.030
Os 0.000 0.000 6.582
Os 0.000 0.000 19.479
```

Computed properties:
- Energy relative to the elements: 12.93 kJ/mol of atoms
- Symmetry: No. 166
- DOS(E_F): 4.2 states/eV/cell
- ΔE to the lowest computed polymorph: 0.0335 eV/atom

[12]
This record from the Alexandria database describes a relaxed LaHo2Tl crystal. The functional is PBE. Values from VASP.

Cell and atoms, written as Quantum ESPRESSO input:
```
&SYSTEM
  ibrav = 0, nat = 4, ntyp = 3
/
ATOMIC_SPECIES
La 138.91 La.upf
Ho 164.93 Ho.upf
Tl 204.38 Tl.upf
CELL_PARAMETERS angstrom
4.959 0.000 0.000
0.000 4.959 0.000
0.000 0.000 4.849
ATOMIC_POSITIONS angstrom
La 0.000 0.000 0.000
Ho 0.000 2.480 2.424
Ho 2.480 0.000 2.424
Tl 2.480 2.480 0.000
```

Computed properties:
- Energy relative to the elements: -16.86 kJ/mol of atoms
- Symmetry: No. 123
- DOS(E_F): 6.0 states/eV/cell
- ΔE to the lowest computed polymorph: 0.0077 eV/atom

Please write out number 10 again, unchanged.
This record from the Alexandria database describes a relaxed Sm5TmN6 crystal. The functional is PBE. Values from VASP.

Cell and atoms, written as Quantum ESPRESSO input:
```
&SYSTEM
  ibrav = 0, nat = 12, ntyp = 3
/
ATOMIC_SPECIES
Sm 150.36 Sm.upf
Tm 168.93 Tm.upf
N 14.01 N.upf
CELL_PARAMETERS angstrom
3.082 -5.339 0.000
3.082 5.339 0.000
-2.053 0.000 5.809
ATOMIC_POSITIONS angstrom
Sm 0.000 0.000 0.000
Sm 2.055 3.558 2.904
Sm 3.082 1.768 0.000
Sm 3.082 -1.768 0.000
Sm 2.055 -3.558 2.904
Tm 2.055 0.000 2.904
N 1.050 1.742 1.476
N 0.044 0.000 4.337
N 1.050 -1.742 1.476
N 3.061 1.742 4.333
N 4.066 0.000 1.472
N 3.061 -1.742 4.333
```

Computed properties:
- Symmetry: No. 12
- Formation energy without anion corrections: -18.3 eV/f.u.
- DOS(E_F): 0.4 states/eV/cell

> Number 7 is which compound?

BaY2MnBe